Entry 1:
## Er4Tm2Zr (PBE)

Data for crystalline Er4Tm2Zr at its relaxed geometry.

Computed properties:
DFT formation energy, eV per atom: 0.03
Size of the total moment, μB per formula unit: 0.3

```
data_Er4Tm2Zr
_chemical_formula_sum 'Er8 Tm4 Zr2'
_cell_length_a 6.067
_cell_length_b 3.504
_cell_length_c 19.412
_cell_angle_alpha 90.00
_cell_angle_beta 95.97
_cell_angle_gamma 90.00
_space_group_name_H-M_alt 'C 1 m 1'
_space_group_IT_number 8
_space_group_name_Hall 'C -2y'
loop_
_atom_site_label
_atom_site_type_symbol
_atom_site_fract_x
_atom_site_fract_y
_atom_site_fract_z
_atom_site_occupancy
Er1 Er 0.000 0.000 0.000 1
Er2 Er 0.019 0.500 0.561 1
Er3 Er 0.089 0.000 0.267 1
Er4 Er 0.115 0.500 0.851 1
Tm1 Tm 0.305 0.500 0.416 1
Tm2 Tm 0.400 0.500 0.707 1
Zr1 Zr 0.211 0.500 0.134 1
```



Entry 2:
## Be2InCu (PBE)

Data for crystalline Be2InCu at its relaxed geometry.

Computed properties:
DFT formation energy, eV per atom: 0.36
Size of the total moment, μB per formula unit: 0.0

```
data_Be2InCu
_chemical_formula_sum 'Be2 In1 Cu1'
_cell_length_a 2.879
_cell_length_b 4.026
_cell_length_c 4.877
_cell_angle_alpha 90.00
_cell_angle_beta 97.47
_cell_angle_gamma 90.00
_space_group_name_H-M_alt 'P 1 2/m 1'
_space_group_IT_number 10
_space_group_name_Hall '-P 2y'
loop_
_atom_site_label
_atom_site_type_symbol
_atom_site_fract_x
_atom_site_fract_y
_atom_site_fract_z
_atom_site_occupancy
Be1 Be 0.208 0.000 0.318 1
In1 In 0.000 0.500 0.000 1
Cu1 Cu 0.500 0.500 0.500 1
```



Entry 3:
## KCu2Au2 (PBE)

Data for crystalline KCu2Au2 at its relaxed geometry.

Computed properties:
DFT formation energy, eV per atom: 0.02
Size of the total moment, μB per formula unit: 0.0

```
data_KCu2Au2
_chemical_formula_sum 'K2 Cu4 Au4'
_cell_length_a 8.135
_cell_length_b 8.135
_cell_length_c 2.811
_cell_angle_alpha 90.00
_cell_angle_beta 90.00
_cell_angle_gamma 90.00
_space_group_name_H-M_alt 'P 4/m b m'
_space_group_IT_number 127
_space_group_name_Hall '-P 4 2ab'
loop_
_atom_site_label
_atom_site_type_symbol
_atom_site_fract_x
_atom_site_fract_y
_atom_site_fract_z
_atom_site_occupancy
K1 K 0.000 0.000 0.000 1
Cu1 Cu 0.163 0.337 0.500 1
Au1 Au 0.132 0.632 0.000 1
```



Entry 4:
## LaSmCo (PBE)

Data for crystalline LaSmCo at its relaxed geometry.

Computed properties:
DFT formation energy, eV per atom: -0.01
Size of the total moment, μB per formula unit: 0.4

```
data_LaSmCo
_chemical_formula_sum 'La2 Sm2 Co2'
_cell_length_a 3.477
_cell_length_b 3.477
_cell_length_c 13.263
_cell_angle_alpha 90.00
_cell_angle_beta 90.00
_cell_angle_gamma 90.00
_space_group_name_H-M_alt 'I 4 m m'
_space_group_IT_number 107
_space_group_name_Hall 'I 4 -2'
loop_
_atom_site_label
_atom_site_type_symbol
_atom_site_fract_x
_atom_site_fract_y
_atom_site_fract_z
_atom_site_occupancy
La1 La 0.000 0.000 0.000 1
Sm1 Sm 0.000 0.000 0.752 1
Co1 Co 0.000 0.000 0.372 1
```